[1]
The following is a GGA-PBE calculation of a geometry-optimized RbCoRu structure, from Alexandria via LeMat-Bulk.

It has space group P1 (No. 1), with a = 3.8105 Å, b = 4.3784 Å, c = 11.9052 Å, α = 81.40°, β = 87.72° and γ = 64.21°. The distinct sites, in fractional coordinates, are Rb at (0.0000, 0.0000, 0.0000), Rb at (0.4526, 0.2444, 0.4009), Co at (0.3846, 0.3020, 0.7228), Co at (0.6854, 0.6817, 0.7971), Ru at (0.0690, 0.9405, 0.6935) and Ru at (0.7692, 0.5607, 0.6096).

The calculation puts the total energy at -0.1873 hartree per atom. The calculation puts the energy above the most stable polymorph in this dataset at 53 meV per atom. The crystal system is triclinic. The value obtained for the formation energy is 685 meV/atom.


[2]
The following is a GGA-PBE calculation of a geometry-optimized PrHoMgCd structure, from Alexandria via LeMat-Bulk.

It has space group P4mm (No. 99), with a = 3.7947 Å, b = 3.7947 Å, c = 7.7520 Å, α = 90.00°, β = 90.00° and γ = 90.00°. The distinct sites, in fractional coordinates, are Pr at (0.0000, 0.0000, 0.0000), Ho at (0.0000, 0.0000, 0.4978), Mg at (0.5000, 0.5000, 0.7351) and Cd at (0.5000, 0.5000, 0.2699).

The calculation puts the total energy at -0.1164 hartree per atom. The crystal system is tetragonal. The value obtained for the formation energy is -200 meV/atom.


[3]
The following is a GGA-PBE calculation of a geometry-optimized Zr2SiH3 structure, from Alexandria via LeMat-Bulk.

It has space group C2/m (No. 12), with a = 12.7291 Å, b = 3.5471 Å, c = 6.6053 Å, α = 90.00°, β = 115.20° and γ = 90.00°. The distinct sites, in fractional coordinates, are Zr at (0.0299, 0.0000, 0.2728), Zr at (0.2121, 0.5000, 0.7337), Si at (0.1117, 0.5000, 0.0408), H at (0.0736, 0.5000, 0.4365), H at (0.1046, 0.0000, 0.6398) and H at (0.1994, 0.0000, 0.4775).

The calculation puts the total energy at -0.2189 hartree per atom. The crystal system is monoclinic.


[4]
The following is a GGA-PBE calculation of a geometry-optimized Rb3Ho3TaSe8 structure, from Alexandria via LeMat-Bulk.

It has space group C2/m (No. 12), with a = 14.1201 Å, b = 8.1577 Å, c = 9.4534 Å, α = 90.00°, β = 119.85° and γ = 90.00°. The distinct sites, in fractional coordinates, are Rb at (0.0000, 0.0000, 0.0000), Rb at (0.2500, 0.2500, 0.0000), Ho at (0.0000, 0.5000, 0.5000), Ho at (0.2500, 0.2500, 0.5000), Ta at (0.0000, 0.0000, 0.5000), Se at (0.0163, 0.2340, 0.3140), Se at (0.2176, 0.0000, 0.6858) and Se at (0.2319, 0.5000, 0.6961).

The calculation puts the total energy at -0.1930 hartree per atom. The value obtained for the uncorrected formation energy is -1.4949 eV per atom. The crystal system is monoclinic.


[5]
The following is a GGA-PBE calculation of a geometry-optimized Pr3HgPb3 structure, from Alexandria via LeMat-Bulk.

It has space group P6_3/m (No. 176), with a = 9.1131 Å, b = 9.1131 Å, c = 5.9598 Å, α = 90.00°, β = 90.00° and γ = 120.00°. The distinct sites, in fractional coordinates, are Pr at (0.0833, 0.6347, 0.2500), Hg at (0.3333, 0.6667, 0.7500) and Pb at (0.0524, 0.8015, 0.7500).

The calculation puts the total energy at -0.1469 hartree per atom. The calculation puts the energy above the most stable polymorph in this dataset at 185 meV per atom. The crystal system is hexagonal. The value obtained for the formation energy is -317 meV/atom.


[6]
The following is a GGA-PBE calculation of a geometry-optimized Ca2Cu2Sb structure, from Alexandria via LeMat-Bulk.

It has space group P4/mbm (No. 127), with a = 7.2055 Å, b = 7.2055 Å, c = 4.3495 Å, α = 90.00°, β = 90.00° and γ = 90.00°. The distinct sites, in fractional coordinates, are Ca at (0.1822, 0.3178, 0.0000), Cu at (0.1171, 0.6171, 0.5000) and Sb at (0.0000, 0.0000, 0.5000).

The calculation puts the total energy at -0.1346 hartree per atom. The calculation puts the energy above the most stable polymorph in this dataset at 0 meV per atom. The value obtained for the uncorrected formation energy is -0.3991 eV per atom. The crystal system is tetragonal.


[7]
The following is a GGA-PBE calculation of a geometry-optimized Zr3BiH structure, from Alexandria via LeMat-Bulk.

It has space group P6_3/mmc (No. 194), with a = 5.0762 Å, b = 5.0762 Å, c = 8.7578 Å, α = 90.00°, β = 90.00° and γ = 120.00°. The distinct sites, in fractional coordinates, are Zr at (0.0000, 0.0000, 0.2500), Zr at (0.3333, 0.6667, 0.0840), Bi at (0.3333, 0.6667, 0.7500) and H at (0.0000, 0.0000, 0.0000).

The calculation puts the total energy at -0.2415 hartree per atom. The calculation puts the energy above the most stable polymorph in this dataset at 346 meV per atom. The crystal system is hexagonal.


[8]
The following is a GGA-PBE calculation of a geometry-optimized Na2MgTl8 structure, from Alexandria via LeMat-Bulk.

It has space group P4/mmm (No. 123), with a = 5.1681 Å, b = 5.1681 Å, c = 12.0917 Å, α = 90.00°, β = 90.00° and γ = 90.00°. The distinct sites, in fractional coordinates, are Na at (0.0000, 0.0000, 0.1820), Mg at (0.0000, 0.0000, 0.5000), Tl at (0.0000, 0.5000, 0.0000), Tl at (0.0000, 0.5000, 0.3602) and Tl at (0.5000, 0.5000, 0.1809).

The calculation puts the total energy at -0.0788 hartree per atom. The crystal system is tetragonal. The value obtained for the formation energy is -39 meV/atom.


[9]
The following is a GGA-PBE calculation of a geometry-optimized FeReRu2 structure, from Alexandria via LeMat-Bulk.

It has space group Amm2 (No. 38), with a = 4.0960 Å, b = 2.6984 Å, c = 9.8185 Å, α = 90.00°, β = 90.00° and γ = 90.00°. The distinct sites, in fractional coordinates, are Fe at (0.0000, 0.0000, 0.0000), Re at (0.5000, 0.0000, 0.1307), Ru at (0.0000, 0.0000, 0.7407) and Ru at (0.5000, 0.0000, 0.3988).

The calculation puts the total energy at -0.3583 hartree per atom. The crystal system is orthorhombic. The value obtained for the formation energy is 116 meV/atom.


[10]
The following is a GGA-PBE calculation of a geometry-optimized PbW3Au structure, from Alexandria via LeMat-Bulk.

It has space group Pm-3m (No. 221), with a = 4.9166 Å, b = 4.9166 Å, c = 4.9166 Å, α = 90.00°, β = 90.00° and γ = 90.00°. The distinct sites, in fractional coordinates, are Pb at (0.0000, 0.0000, 0.0000), W at (0.0000, 0.5000, 0.5000) and Au at (0.5000, 0.5000, 0.5000).

The calculation puts the total energy at -0.2443 hartree per atom. The calculation puts the energy above the most stable polymorph in this dataset at 0 meV per atom. The crystal system is cubic. The value obtained for the formation energy is 2522 meV/atom.


[11]
The following is a GGA-PBE calculation of a geometry-optimized Li2Ge4Pt5 structure, from Alexandria via LeMat-Bulk.

It has space group Fmmm (No. 69), with a = 5.4962 Å, b = 9.6476 Å, c = 15.6252 Å, α = 90.00°, β = 90.00° and γ = 90.00°. The distinct sites, in fractional coordinates, are Li at (0.0000, 0.0000, 0.0910), Ge at (0.0000, 0.1583, 0.3701), Pt at (0.0000, 0.0000, 0.5000), Pt at (0.2500, 0.2500, 0.0000) and Pt at (0.2500, 0.2500, 0.2500).

The calculation puts the total energy at -0.1912 hartree per atom. The crystal system is orthorhombic. The value obtained for the formation energy is -431 meV/atom.


[12]
The following is a GGA-PBE calculation of a geometry-optimized Zr2TcMo structure, from Alexandria via LeMat-Bulk.

It has space group P2/m (No. 10), with a = 2.9922 Å, b = 4.4307 Å, c = 5.5582 Å, α = 90.00°, β = 98.01° and γ = 90.00°. The distinct sites, in fractional coordinates, are Zr at (0.2468, 0.0000, 0.2531), Tc at (0.0000, 0.5000, 0.5000) and Mo at (0.5000, 0.5000, 0.0000).

The calculation puts the total energy at -0.3523 hartree per atom. The crystal system is monoclinic. The value obtained for the formation energy is -12 meV/atom.